1.
# PBE TiMn2HRh, relaxed
data_TiMn2HRh
_chemical_formula_sum 'Ti1 Mn2 H1 Rh1'
_cell_length_a 3.6903
_cell_length_b 3.6903
_cell_length_c 4.0794
_cell_angle_alpha 90.00
_cell_angle_beta 90.00
_cell_angle_gamma 90.00
_symmetry_space_group_name_H-M 'P 4/m m m'
_symmetry_Int_Tables_number 123
_symmetry_space_group_name_Hall '-P 4 2'
loop_
_atom_site_label
_atom_site_type_symbol
_atom_site_fract_x
_atom_site_fract_y
_atom_site_fract_z
_atom_site_occupancy
Ti1 Ti 0.0000 0.0000 0.0000 1
Mn1 Mn 0.0000 0.5000 0.5000 1
H1 H 0.0000 0.0000 0.5000 1
Rh1 Rh 0.5000 0.5000 0.0000 1
# Energy relative to the lowest polymorph listed for this composition (meV per atom): 0
# Crystal system: tetragonal

2.
# PBE CoCuNi2Pd, relaxed
data_CoCuNi2Pd
_chemical_formula_sum 'Co1 Cu1 Ni2 Pd1'
_cell_length_a 4.5183
_cell_length_b 4.5183
_cell_length_c 4.5820
_cell_angle_alpha 90.00
_cell_angle_beta 90.00
_cell_angle_gamma 90.00
_symmetry_space_group_name_H-M 'P 4/m m m'
_symmetry_Int_Tables_number 123
_symmetry_space_group_name_Hall '-P 4 2'
loop_
_atom_site_label
_atom_site_type_symbol
_atom_site_fract_x
_atom_site_fract_y
_atom_site_fract_z
_atom_site_occupancy
Co1 Co 0.0000 0.0000 0.0000 1
Cu1 Cu 0.5000 0.5000 0.0000 1
Ni1 Ni 0.0000 0.5000 0.5000 1
Pd1 Pd 0.5000 0.5000 0.5000 1
# Energy relative to the elements (eV/atom): 1.54
# Crystal system: tetragonal

3.
# PBE Na2Li2Cd, relaxed
data_Na2Li2Cd
_chemical_formula_sum 'Na4 Li4 Cd2'
_cell_length_a 4.1356
_cell_length_b 4.1356
_cell_length_c 15.4376
_cell_angle_alpha 90.00
_cell_angle_beta 90.00
_cell_angle_gamma 90.00
_symmetry_space_group_name_H-M 'I 4/m m m'
_symmetry_Int_Tables_number 139
_symmetry_space_group_name_Hall '-I 4 2'
loop_
_atom_site_label
_atom_site_type_symbol
_atom_site_fract_x
_atom_site_fract_y
_atom_site_fract_z
_atom_site_occupancy
Na1 Na 0.0000 0.5000 0.2500 1
Li1 Li 0.0000 0.0000 0.0839 1
Cd1 Cd 0.0000 0.0000 0.5000 1
# Energy relative to the lowest polymorph listed for this composition (meV per atom): 145
# Energy relative to the elements (eV/atom): 0.14
# Crystal system: tetragonal

no.,N(E_F) (states/eV/atom)
1,0.79
2,2.64
3,0.33